Compound: DyY3Ho3Se8
Source: Alexandria via LeMat-Bulk
Functional: PBE
Structure: relaxed

As for the total energy: -6.20 eV per atom. The theoretical density is 6.84 Mg/m³.

The structure belongs to space group R-3m (No. 166, hexagonal axes); the cell edges are 8.1129, 8.1129 and 19.8825 Å and the angles 90.00°, 90.00° and 120.00°. The asymmetric unit holds Dy at (0.0000, 0.0000, 0.0000), Y at (0.0000, 0.5000, 0.5000), Ho at (0.0000, 0.5000, 0.0000), Se at (0.0000, 0.0000, 0.2509) and Se at (0.0064, 0.5032, 0.2494).